The following is a DFT calculation (GGA-PBE) of an optimized crystal structure of LaCu2Pb.

Unit cell a=3.418 b=3.418 c=7.420 alpha=90.00 beta=90.00 gamma=90.00
Space group P4mm (No. 99)
Symmetry-distinct sites (fractional):
La: 0.000 0.000 0.000 [1 per cell]
Cu: 0.000 0.000 0.589 [1 per cell]
Cu: 0.500 0.500 0.726 [1 per cell]
Pb: 0.500 0.500 0.347 [1 per cell]

formation enthalpy at 0 K	-0.013	eV per atom

---

The following is a DFT calculation (GGA-PBE) of an optimized crystal structure of HoGa4NiPt2.

Unit cell a=4.2568 b=4.2568 c=25.4578 alpha=90.00 beta=90.00 gamma=120.00
Space group R-3m (No. 166, hexagonal axes)
Symmetry-distinct sites (fractional):
Ho: 0.0000 0.0000 0.0000 [3 per cell]
Ga: 0.0000 0.0000 0.1352 [6 per cell]
Ga: 0.0000 0.0000 0.3986 [6 per cell]
Ni: 0.0000 0.0000 0.5000 [3 per cell]
Pt: 0.0000 0.0000 0.2416 [6 per cell]

formation enthalpy at 0 K	-0.641	eV per atom

---

no.,final energy (eV per atom)
1,-4.220
2,-4.959